Entry 1:
The following is a PBE calculation of a relaxed SrBi3Pd crystal, from Alexandria via LeMat-Bulk.

Summary:
- Space-group type: Pm-3m
- DOS at the Fermi energy: 3.19 states/eV/f.u.
- Calculated density: 8.2 g cm⁻³
- Calculated formation energy: -0.22 eV/atom
- Offset from the most stable computed form: 227 meV/atom

a b c (Å): 5.5004 5.5004 5.5004
angles (deg): 90.00 90.00 90.00
Closest atoms and distances in Å follow each position.
Sites, in units of the cell vectors:
Bi 0.0000 0.0000 0.5000  2 Pd 2.75
Bi 0.0000 0.5000 0.0000  2 Pd 2.75
Bi 0.5000 0.0000 0.0000  2 Pd 2.75
Sr 0.5000 0.5000 0.5000  12 Bi 3.89
Pd 0.0000 0.0000 0.0000  6 Bi 2.75



Entry 2:
The following is a PBE calculation of a relaxed Sr2Bi3Pd2 crystal, from Alexandria via LeMat-Bulk.

Summary:
- Space-group type: Cmcm
- DOS at the Fermi energy: 2.09 states/eV/f.u.
- Calculated density: 8.4 g cm⁻³
- Calculated formation energy: -0.62 eV/atom
- Offset from the most stable computed form: 0 meV/atom

a b c (Å): 4.8993 7.4177 11.2818
angles (deg): 90.00 102.54 90.00
Closest atoms and distances in Å follow each position.
Sites, in units of the cell vectors:
Bi 0.4201 0.9705 0.8402  1 Pd 2.88
Bi 0.5799 0.4705 0.1598  1 Pd 2.88
Bi 0.4201 0.5295 0.8402  1 Pd 2.88
Bi 0.2122 0.7500 0.4245  6 Pd 2.80-2.89
Bi 0.5799 0.0295 0.1598  1 Pd 2.88
Bi 0.7878 0.2500 0.5755  6 Pd 2.80-2.89
Sr 0.0260 0.7500 0.0520  8 Bi 3.42-3.76
Sr 0.9740 0.2500 0.9480  8 Bi 3.42-3.76
Sr 0.8360 0.7500 0.6721  6 Pd 3.20-3.43, 4 Bi 3.48
Sr 0.1640 0.2500 0.3279  6 Pd 3.20-3.43, 4 Bi 3.48
Pd 0.2918 0.4552 0.5836  4 Bi 2.80-2.89, 3 Pd 3.04-3.14
Pd 0.2918 0.0448 0.5836  4 Bi 2.80-2.89, 3 Pd 3.04-3.14
Pd 0.7082 0.5448 0.4164  4 Bi 2.80-2.89, 3 Pd 3.04-3.14
Pd 0.7082 0.9552 0.4164  4 Bi 2.80-2.89, 3 Pd 3.04-3.14



Entry 3:
The following is a PBE calculation of a relaxed SrBi7Pd2 crystal, from Alexandria via LeMat-Bulk.

Summary:
- Space-group type: Cmmm
- DOS at the Fermi energy: 4.63 states/eV/f.u.
- Calculated density: 8.7 g cm⁻³
- Calculated formation energy: -0.11 eV/atom

a b c (Å): 5.0877 8.6555 8.6556
angles (deg): 118.29 90.00 90.00
Closest atoms and distances in Å follow each position.
Sites, in units of the cell vectors:
Bi 0.0000 0.2318 0.7682  2 Pd 2.80
Bi 0.5000 0.3325 0.0628  2 Pd 2.81-3.14
Bi 0.5000 0.6675 0.9372  2 Pd 2.81-3.14
Bi 0.5000 0.0628 0.3325  2 Pd 2.81-3.14
Bi 0.5000 0.9372 0.6675  2 Pd 2.81-3.14
Bi 0.0000 0.7682 0.2318  2 Pd 2.80
Bi 0.5000 0.5000 0.5000  2 Pd 2.83
Sr 0.0000 0.0000 0.0000  10 Bi 3.44-3.68
Pd 0.5000 0.3099 0.6901  5 Bi 2.80-2.83
Pd 0.5000 0.6901 0.3099  5 Bi 2.80-2.83